(1)
Ce2InAu PBE-GGA relaxed; symmetry = P4/mmm; energy = -19.658 eV per formula unit; energy above the lowest structure with this stoichiometry = 0.033 eV per atom; energy of formation from the pure elements = -171 kJ/mol of formula units
1.0
4.541 0.000 0.000
0.000 4.541 0.000
0.000 0.000 4.728
Ce In Au
2 1 1
Direct
0.000 0.500 0.000 Ce
0.500 0.000 0.000 Ce
0.000 0.000 0.500 In
0.500 0.500 0.500 Au

***

(2)
CeIn2Au2 PBE-GGA relaxed; symmetry = C2/m; energy = -20.203 eV per formula unit; energy of formation from the pure elements = -216 kJ/mol of formula units
1.0
4.199 -2.432 0.000
4.199 2.432 0.000
-0.101 0.000 6.251
Ce In Au
1 2 2
Direct
0.000 0.000 0.000 Ce
0.336 0.336 0.326 In
0.664 0.664 0.674 In
0.331 0.331 0.774 Au
0.669 0.669 0.226 Au

***

(3)
Ce2In5Au3 PBE-GGA relaxed; symmetry = Ibam; energy = -39.412 eV per formula unit; energy above the lowest structure with this stoichiometry = 0.071 eV per atom; energy of formation from the pure elements = -388 kJ/mol of formula units
1.0
-5.970 6.402 3.254
5.970 -6.402 3.254
5.970 6.402 -3.254
Ce In Au
4 10 6
Direct
0.132 0.241 0.373 Ce
0.368 0.741 0.109 Ce
0.632 0.259 0.891 Ce
0.868 0.759 0.627 Ce
0.008 0.750 0.258 In
0.108 0.647 0.755 In
0.250 0.250 0.000 In
0.392 0.147 0.539 In
0.492 0.750 0.742 In
0.508 0.250 0.258 In
0.608 0.853 0.461 In
0.750 0.750 0.000 In
0.892 0.353 0.245 In
0.992 0.250 0.742 In
0.131 0.867 0.998 Au
0.250 0.750 0.500 Au
0.369 0.367 0.737 Au
0.631 0.633 0.263 Au
0.750 0.250 0.500 Au
0.869 0.133 0.002 Au

***

(4)
Ce4InAu PBE-GGA relaxed; symmetry = C2/m; energy = -31.481 eV per formula unit; energy above the lowest structure with this stoichiometry = 0.000 eV per atom; energy of formation from the pure elements = -167 kJ/mol of formula units
1.0
3.929 -4.643 0.000
3.929 4.643 0.000
-3.323 0.000 3.883
Ce In Au
4 1 1
Direct
0.066 0.415 0.242 Ce
0.415 0.066 0.242 Ce
0.585 0.934 0.758 Ce
0.934 0.585 0.758 Ce
0.500 0.500 0.000 In
0.000 0.000 0.500 Au

***

(5)
Ce2InAu PBE-GGA relaxed; symmetry = P4/mmm; energy = -19.790 eV per formula unit; energy above the lowest structure with this stoichiometry = 0.000 eV per atom; energy of formation from the pure elements = -184 kJ/mol of formula units
1.0
3.368 0.000 0.000
0.000 3.368 0.000
0.000 0.000 9.016
Ce In Au
2 1 1
Direct
0.000 0.000 0.232 Ce
0.000 0.000 0.768 Ce
0.500 0.500 0.500 In
0.500 0.500 0.000 Au

***

(6)
Ce12In3Au PBE-GGA relaxed; symmetry = P4/mmm; energy = -85.710 eV per formula unit; energy of formation from the pure elements = -291 kJ/mol of formula units
1.0
4.802 0.000 0.000
0.000 4.802 0.000
0.000 0.000 18.886
Ce In Au
12 3 1
Direct
0.000 0.000 0.000 Ce
0.000 0.000 0.244 Ce
0.000 0.000 0.500 Ce
0.000 0.000 0.756 Ce
0.000 0.500 0.118 Ce
0.000 0.500 0.373 Ce
0.000 0.500 0.627 Ce
0.000 0.500 0.882 Ce
0.500 0.000 0.118 Ce
0.500 0.000 0.373 Ce
0.500 0.000 0.627 Ce
0.500 0.000 0.882 Ce
0.500 0.500 0.245 In
0.500 0.500 0.500 In
0.500 0.500 0.755 In
0.500 0.500 0.000 Au

***

(7)
CeInIrAu PBE-GGA relaxed; symmetry = F-43m; energy = -22.644 eV per formula unit; energy of formation from the pure elements = -177 kJ/mol of formula units
1.0
0.000 3.475 3.475
3.475 0.000 3.475
3.475 3.475 0.000
Ce In Ir Au
1 1 1 1
Direct
0.000 0.000 0.000 Ce
0.500 0.500 0.500 In
0.250 0.250 0.250 Ir
0.750 0.750 0.750 Au

***

(8)
Li2CeInAu2 PBE-GGA relaxed; symmetry = P-3m1; energy = -22.137 eV per formula unit; energy of formation from the pure elements = -297 kJ/mol of formula units
1.0
4.586 0.000 0.000
-2.293 3.971 0.000
0.000 0.000 6.751
Li Ce In Au
2 1 1 2
Direct
0.333 0.667 0.165 Li
0.667 0.333 0.835 Li
0.000 0.000 0.500 Ce
0.000 0.000 0.000 In
0.333 0.667 0.759 Au
0.667 0.333 0.241 Au

***

(9)
CeLuInAu PBE-GGA relaxed; symmetry = F-43m; energy = -18.438 eV per formula unit; energy of formation from the pure elements = -190 kJ/mol of formula units
1.0
0.000 3.717 3.717
3.717 0.000 3.717
3.717 3.717 0.000
Ce Lu In Au
1 1 1 1
Direct
0.000 0.000 0.000 Ce
0.500 0.500 0.500 Lu
0.250 0.250 0.250 In
0.750 0.750 0.750 Au

***

(10)
CeMgInAu PBE-GGA relaxed; symmetry = F-43m; energy = -15.455 eV per formula unit; energy of formation from the pure elements = -184 kJ/mol of formula units
1.0
0.000 3.615 3.615
3.615 0.000 3.615
3.615 3.615 0.000
Ce Mg In Au
1 1 1 1
Direct
0.000 0.000 0.000 Ce
0.500 0.500 0.500 Mg
0.250 0.250 0.250 In
0.750 0.750 0.750 Au

***

(11)
CeMgIn2Au4 PBE-GGA relaxed; symmetry = R-3m; energy = -30.142 eV per formula unit; energy of formation from the pure elements = -389 kJ/mol of formula units
1.0
2.371 1.369 8.782
-2.371 1.369 8.782
0.000 -2.737 8.782
Ce Mg In Au
1 1 2 4
Direct
0.000 0.000 0.000 Ce
0.500 0.500 0.500 Mg
0.246 0.246 0.246 In
0.754 0.754 0.754 In
0.133 0.133 0.133 Au
0.390 0.390 0.390 Au
0.610 0.610 0.610 Au
0.867 0.867 0.867 Au

***

(12)
CeMg2InAu2 PBE-GGA relaxed; symmetry = P-3m1; energy = -21.480 eV per formula unit; energy of formation from the pure elements = -296 kJ/mol of formula units
1.0
4.790 0.000 0.000
-2.395 4.149 0.000
0.000 0.000 6.678
Ce Mg In Au
1 2 1 2
Direct
0.000 0.000 0.000 Ce
0.333 0.667 0.689 Mg
0.667 0.333 0.311 Mg
0.000 0.000 0.500 In
0.333 0.667 0.239 Au
0.667 0.333 0.761 Au

***

(13)
CeNdInAu PBE-GGA relaxed; symmetry = F-43m; energy = -18.585 eV per formula unit; energy of formation from the pure elements = -180 kJ/mol of formula units
1.0
0.000 3.806 3.806
3.806 0.000 3.806
3.806 3.806 0.000
Ce Nd In Au
1 1 1 1
Direct
0.000 0.000 0.000 Ce
0.500 0.500 0.500 Nd
0.750 0.750 0.750 In
0.250 0.250 0.250 Au

***

(14)
CeInNiAu PBE-GGA relaxed; symmetry = F-43m; energy = -19.355 eV per formula unit; energy of formation from the pure elements = -157 kJ/mol of formula units
1.0
0.000 3.446 3.446
3.446 0.000 3.446
3.446 3.446 0.000
Ce In Ni Au
1 1 1 1
Direct
0.000 0.000 0.000 Ce
0.500 0.500 0.500 In
0.250 0.250 0.250 Ni
0.750 0.750 0.750 Au

***

(15)
CePaInAu PBE-GGA relaxed; symmetry = F-43m; energy = -21.881 eV per formula unit; energy of formation from the pure elements = -42 kJ/mol of formula units
1.0
0.000 3.739 3.739
3.739 0.000 3.739
3.739 3.739 0.000
Ce Pa In Au
1 1 1 1
Direct
0.000 0.000 0.000 Ce
0.500 0.500 0.500 Pa
0.250 0.250 0.250 In
0.750 0.750 0.750 Au

***

(16)
CeInPdAu PBE-GGA relaxed; symmetry = F-43m; energy = -19.681 eV per formula unit; energy of formation from the pure elements = -245 kJ/mol of formula units
1.0
0.000 3.511 3.511
3.511 0.000 3.511
3.511 3.511 0.000
Ce In Pd Au
1 1 1 1
Direct
0.000 0.000 0.000 Ce
0.500 0.500 0.500 In
0.750 0.750 0.750 Pd
0.250 0.250 0.250 Au

***

(17)
CePrInAu PBE-GGA relaxed; symmetry = F-43m; energy = -18.576 eV per formula unit; energy of formation from the pure elements = -178 kJ/mol of formula units
1.0
0.000 3.819 3.819
3.819 0.000 3.819
3.819 3.819 0.000
Ce Pr In Au
1 1 1 1
Direct
0.000 0.000 0.000 Ce
0.500 0.500 0.500 Pr
0.750 0.750 0.750 In
0.250 0.250 0.250 Au

***

(18)
CePuInAu PBE-GGA relaxed; symmetry = F-43m; energy = -27.466 eV per formula unit; energy above the lowest structure with this stoichiometry = 0.060 eV per atom; energy of formation from the pure elements = -114 kJ/mol of formula units
1.0
0.000 3.756 3.756
3.756 0.000 3.756
3.756 3.756 0.000
Ce Pu In Au
1 1 1 1
Direct
0.000 0.000 0.000 Ce
0.500 0.500 0.500 Pu
0.250 0.250 0.250 In
0.750 0.750 0.750 Au

***

(19)
CePuInAu PBE-GGA relaxed; symmetry = P4mm; energy = -27.707 eV per formula unit; energy above the lowest structure with this stoichiometry = 0.000 eV per atom; energy of formation from the pure elements = -138 kJ/mol of formula units
1.0
3.988 0.000 0.000
0.000 3.988 0.000
0.000 0.000 6.429
Ce Pu In Au
1 1 1 1
Direct
0.000 0.000 0.000 Ce
0.000 0.000 0.539 Pu
0.500 0.500 0.276 In
0.500 0.500 0.772 Au

***

(20)
Ce4PuInAu PBE-GGA relaxed; symmetry = P-1; energy = -45.460 eV per formula unit; energy of formation from the pure elements = -133 kJ/mol of formula units
1.0
5.701 0.000 0.000
-0.029 6.539 0.000
-1.658 -0.310 10.061
Ce Pu In Au
8 2 2 2
Direct
0.134 0.251 0.038 Ce
0.231 0.793 0.434 Ce
0.284 0.462 0.724 Ce
0.291 0.983 0.773 Ce
0.709 0.017 0.227 Ce
0.716 0.538 0.276 Ce
0.769 0.207 0.566 Ce
0.866 0.749 0.962 Ce
0.016 0.765 0.208 Pu
0.984 0.235 0.792 Pu
0.227 0.288 0.369 In
0.773 0.712 0.631 In
0.379 0.702 0.026 Au
0.621 0.298 0.974 Au

***

(21)
CeInRhAu PBE-GGA relaxed; symmetry = F-43m; energy = -21.486 eV per formula unit; energy of formation from the pure elements = -211 kJ/mol of formula units
1.0
0.000 3.473 3.473
3.473 0.000 3.473
3.473 3.473 0.000
Ce In Rh Au
1 1 1 1
Direct
0.000 0.000 0.000 Ce
0.500 0.500 0.500 In
0.250 0.250 0.250 Rh
0.750 0.750 0.750 Au

***

(22)
CeInRuAu PBE-GGA relaxed; symmetry = F-43m; energy = -22.305 eV per formula unit; energy of formation from the pure elements = -104 kJ/mol of formula units
1.0
0.000 3.458 3.458
3.458 0.000 3.458
3.458 3.458 0.000
Ce In Ru Au
1 1 1 1
Direct
0.000 0.000 0.000 Ce
0.500 0.500 0.500 In
0.250 0.250 0.250 Ru
0.750 0.750 0.750 Au

***

(23)
CeInSbAu PBE-GGA relaxed; symmetry = F-43m; energy = -17.898 eV per formula unit; formation energy without anion corrections = -0.457 eV/atom
1.0
0.000 3.707 3.707
3.707 0.000 3.707
3.707 3.707 0.000
Ce In Sb Au
1 1 1 1
Direct
0.000 0.000 0.000 Ce
0.500 0.500 0.500 In
0.250 0.250 0.250 Sb
0.750 0.750 0.750 Au

***

(24)
CeScIn2Au4 PBE-GGA relaxed; symmetry = R-3m; energy = -35.795 eV per formula unit; energy of formation from the pure elements = -477 kJ/mol of formula units
1.0
2.440 1.408 8.235
-2.440 1.408 8.235
0.000 -2.817 8.235
Ce Sc In Au
1 1 2 4
Direct
0.000 0.000 0.000 Ce
0.500 0.500 0.500 Sc
0.250 0.250 0.250 In
0.750 0.750 0.750 In
0.132 0.132 0.132 Au
0.385 0.385 0.385 Au
0.615 0.615 0.615 Au
0.868 0.868 0.868 Au

***

(25)
CeInSi2Au6 PBE-GGA relaxed; symmetry = R-3; energy = -39.823 eV per formula unit; formation energy without anion corrections = -0.064 eV/atom
1.0
2.505 1.446 10.429
-2.505 1.446 10.429
0.000 -2.893 10.429
Ce In Si Au
1 1 2 6
Direct
0.000 0.000 0.000 Ce
0.500 0.500 0.500 In
0.303 0.303 0.303 Si
0.697 0.697 0.697 Si
0.099 0.758 0.416 Au
0.242 0.584 0.901 Au
0.416 0.099 0.758 Au
0.584 0.901 0.242 Au
0.758 0.416 0.099 Au
0.901 0.242 0.584 Au

***

(26)
Ce2InSi3Au4 PBE-GGA relaxed; symmetry = P-4m2; energy = -49.142 eV per formula unit; formation energy without anion corrections = -0.516 eV/atom
1.0
4.327 0.000 0.000
0.000 4.327 0.000
0.000 0.000 10.985
Ce In Si Au
2 1 3 4
Direct
0.000 0.500 0.233 Ce
0.500 0.000 0.767 Ce
0.000 0.000 0.500 In
0.000 0.500 0.872 Si
0.500 0.000 0.128 Si
0.500 0.500 0.500 Si
0.000 0.000 0.000 Au
0.000 0.500 0.652 Au
0.500 0.000 0.348 Au
0.500 0.500 0.000 Au